Record 1
Computed, not measured: an optimized crystal structure of Pr5AgSb2 at the PBE level of DFT.

Cell: 6.1036 6.7951 15.0744 Å, 90.00 90.00 116.69°
Atoms (fractional coordinates):
Pr  0.9312  0.8624  0.8920
Pr  0.9312  0.8624  0.6080
Pr  0.3769  0.7539  0.4362
Pr  0.3769  0.7539  0.0638
Pr  0.6520  0.3041  0.2500
Pr  0.3480  0.6959  0.7500
Pr  0.6231  0.2461  0.5638
Pr  0.6231  0.2461  0.9362
Pr  0.0688  0.1376  0.1080
Pr  0.0688  0.1376  0.3920
Ag  0.7357  0.4715  0.7500
Ag  0.2643  0.5285  0.2500
Sb  0.8066  0.6132  0.4129
Sb  0.8066  0.6132  0.0871
Sb  0.1934  0.3868  0.5871
Sb  0.1934  0.3868  0.9129

Values from the calculation:
E_tot, Ha/atom: -0.17454
ΔE_f (raw), eV/atom: -0.375
Magnetization, μB per atom: 0.001
Space group: Cmcm (63)

Record 2
Computed, not measured: an optimized crystal structure of BaSc2Cu2 at the PBE level of DFT.

Cell: 8.2968 8.2968 3.2153 Å, 90.00 90.00 90.00°
Atoms (fractional coordinates):
Sc  0.3678  0.8678  0.0000
Sc  0.8678  0.6322  0.0000
Sc  0.6322  0.1322  0.0000
Sc  0.1322  0.3678  0.0000
Ba  0.0000  0.0000  0.0000
Ba  0.5000  0.5000  0.0000
Cu  0.1497  0.6497  0.5000
Cu  0.6497  0.8503  0.5000
Cu  0.8503  0.3503  0.5000
Cu  0.3503  0.1497  0.5000

Values from the calculation:
E_tot, Ha/atom: -0.16466
Energy above the most stable polymorph in this dataset, meV per atom: 32
Magnetization, μB per atom: 0.000
ΔH_f (0 K), eV/atom: 0.075
Space group: P4/mbm (127)

Record 3
Computed, not measured: an optimized crystal structure of HgGe3Pb at the PBE level of DFT.

Cell: 5.2581 5.2581 5.2581 Å, 90.00 90.00 90.00°
Atoms (fractional coordinates):
Pb  0.5000  0.5000  0.5000
Ge  0.0000  0.5000  0.0000
Ge  0.0000  0.0000  0.5000
Ge  0.5000  0.0000  0.0000
Hg  0.0000  0.0000  0.0000

Values from the calculation:
E_tot, Ha/atom: -0.10365
Energy above the most stable polymorph in this dataset, meV per atom: 0
Magnetization, μB per atom: 0.000
ΔH_f (0 K), eV/atom: 0.752
Space group: Pm-3m (221)

Record 4
Computed, not measured: an optimized crystal structure of CePm2Tm at the PBE level of DFT.

Cell: 5.0384 5.0547 5.0547 Å, 90.00 90.00 90.00°
Site moments in Bohr magnetons follow the coordinates.
Atoms (fractional coordinates):
Tm  0.5000  0.0000  0.0000  0.01
Ce  0.5000  0.5000  0.5000  0.59
Pm  0.0000  0.0000  0.5000  -0.01
Pm  0.0000  0.5000  0.0000  -0.01

Values from the calculation:
E_tot, Ha/atom: -0.18021
Energy above the most stable polymorph in this dataset, meV per atom: 7
Magnetization, μB per atom: 0.167
ΔH_f (0 K), eV/atom: 0.073
Space group: P4/mmm (123)

Record 5
Computed, not measured: an optimized crystal structure of Y8Co2Pt at the PBE level of DFT.

Cell: 6.0156 7.4139 7.4139 Å, 112.31 99.67 99.67°
Atoms (fractional coordinates):
Y  0.5820  0.3458  0.0786
Y  0.5820  0.0786  0.3458
Y  0.1740  0.3662  0.3662
Y  0.9847  0.2198  0.7823
Y  0.9847  0.7823  0.2198
Y  0.7965  0.6380  0.6380
Y  0.3827  0.9299  0.6621
Y  0.3827  0.6621  0.9299
Co  0.4882  0.6944  0.3172
Co  0.4882  0.3172  0.6944
Pt  0.1538  0.9997  0.9997

Values from the calculation:
E_tot, Ha/atom: -0.24892
Magnetization, μB per atom: 0.000
ΔH_f (0 K), eV/atom: -0.231
Space group: Cm (8)

Record 6
Computed, not measured: an optimized crystal structure of Pr5SmSb5 at the PBE level of DFT.

Cell: 6.3800 7.7985 9.0052 Å, 106.87 90.00 114.15°
Atoms (fractional coordinates):
Pr  0.6698  0.3396  0.3320
Pr  0.6660  0.3321  0.8340
Pr  0.0000  0.0000  0.5000
Pr  0.3340  0.6679  0.1660
Pr  0.3302  0.6604  0.6680
Sm  0.0000  0.0000  0.0000
Sb  0.8338  0.6676  0.1658
Sb  0.8345  0.6690  0.6675
Sb  0.5000  0.0000  0.0000
Sb  0.1655  0.3310  0.3325
Sb  0.1662  0.3324  0.8342

Values from the calculation:
E_tot, Ha/atom: -0.20152
ΔE_f (raw), eV/atom: -1.008
Magnetization, μB per atom: 0.000
Space group: C2/m (12)

Record 7
Computed, not measured: an optimized crystal structure of KC2N3 at the PBE level of DFT.

Cell: 16.2659 4.0766 7.5223 Å, 71.12 90.00 90.00°
Atoms (fractional coordinates):
K  0.9077  0.3803  0.3386
K  0.5923  0.3803  0.8386
K  0.4077  0.6197  0.1614
K  0.0923  0.6197  0.6614
C  0.7797  0.8380  0.9255
C  0.2203  0.1620  0.0745
C  0.4138  0.0335  0.6725
C  0.9138  0.9665  0.8275
C  0.2797  0.1620  0.5745
C  0.0862  0.0335  0.1725
C  0.5862  0.9665  0.3275
C  0.7203  0.8380  0.4255
N  0.4696  0.9135  0.7741
N  0.2929  0.1656  0.0815
N  0.1412  0.1791  0.0472
N  0.9696  0.0865  0.7259
N  0.7071  0.8344  0.9185
N  0.2071  0.1656  0.5815
N  0.7929  0.8344  0.4185
N  0.0304  0.9135  0.2741
N  0.8588  0.8209  0.9528
N  0.6412  0.8209  0.4528
N  0.3588  0.1791  0.5472
N  0.5304  0.0865  0.2259

Values from the calculation:
E_tot, Ha/atom: -0.27634
Energy above the most stable polymorph in this dataset, meV per atom: 114
ΔE_f (raw), eV/atom: -0.099
Magnetization, μB per atom: 0.000
Space group: P2_1/c (14)

Record 8
Computed, not measured: an optimized crystal structure of TiCu3Ru at the PBE level of DFT.

Cell: 4.5238 4.5238 4.5238 Å, 90.00 90.00 90.00°
Atoms (fractional coordinates):
Ru  0.0000  0.0000  0.0000
Cu  0.0000  0.5000  0.0000
Cu  0.0000  0.0000  0.5000
Cu  0.5000  0.0000  0.0000
Ti  0.5000  0.5000  0.5000

Values from the calculation:
E_tot, Ha/atom: -0.17214
Energy above the most stable polymorph in this dataset, meV per atom: 0
Magnetization, μB per atom: 0.000
ΔH_f (0 K), eV/atom: 1.208
Space group: Pm-3m (221)